1.
9
Lattice="12.4489 -2.5639 0.0000 12.4489 2.5639 0.0000 -5.2771 0.0000 10.7828" Properties=species:S:1:pos:R:3 comment="Cs4Rb3Au2 (PBE, optimized geometry)" space_group="No. 12" e_form_kcal_per_mol_atoms=-3.26 n_ef_per_ev_atom=0.770 pbc="T T T"
Cs -0.4536 0.0000 4.6862
Cs 3.5639 0.0000 7.5871
Cs 16.0568 0.0000 3.1957
Cs 20.0743 0.0000 6.0966
Rb 0.0000 0.0000 0.0000
Rb 7.8766 0.0000 1.7277
Rb 11.7441 0.0000 9.0552
Au 5.6953 0.0000 4.5600
Au 13.9254 0.0000 6.2228


2.
6
Lattice="-1.9350 1.9350 7.9079 1.9350 -1.9350 7.9079 1.9350 1.9350 -7.9079" Properties=species:S:1:pos:R:3 comment="NpAsP (PBE, optimized geometry)" space_group="No. 139" e_form_kcal_per_mol_atoms=-14.17 polymorph_energy_ev_per_atom=0.000 n_ef_per_ev_atom=2.360 pbc="T T T"
Np 0.0000 0.0000 2.3234
Np 0.0000 0.0000 13.4924
As 1.9350 0.0000 0.0000
As 0.0000 1.9350 0.0000
P 0.0000 0.0000 5.0496
P 0.0000 0.0000 10.7661